{
  "formula": "GaFeCo",
  "functional": "GGA-PBE",
  "state": "optimized geometry",
  "lattice_angstrom": [[4.0523, -0.6945, 0.0000], [-1.4245, 3.8567, 0.0000], [0.0000, 0.0000, 4.9688]],
  "species": ["Fe", "Fe", "Co", "Ga", "Co", "Ga"],
  "fractional_positions": [[0.0000, 0.0000, 0.0000], [0.0000, 0.0000, 0.5000], [0.6668, 0.3332, 0.2500], [0.6666, 0.3334, 0.7500], [0.3332, 0.6668, 0.7500], [0.3334, 0.6666, 0.2500]],
  "ef_ev_per_atom": -0.13,
  "magmom_total_mub_per_atom": 1.0910,
  "sg": "P6_3/mmc, No. 194",
  "total_energy_ev_per_atom": -6.329
}